The following is a PBE-GGA calculation of a relaxed KPrCdCl6 crystal, from Alexandria via LeMat-Bulk.

POSCAR file:
```
KPrCdCl6
1.0
7.096 0.000 0.000
-3.548 6.145 0.000
0.000 0.000 13.747
K Pr Cd Cl
2 2 2 12
direct
0.000 0.000 0.000
0.000 0.000 0.500
0.333 0.667 0.250
0.667 0.333 0.750
0.333 0.667 0.750
0.667 0.333 0.250
0.011 0.376 0.638
0.011 0.636 0.862
0.364 0.376 0.862
0.364 0.989 0.638
0.376 0.011 0.138
0.376 0.364 0.362
0.624 0.636 0.638
0.624 0.989 0.862
0.636 0.011 0.362
0.636 0.624 0.138
0.989 0.364 0.138
0.989 0.624 0.362
```

## Properties
total magnetization: 0.0 μB/cell
crystal system: trigonal
formation energy without anion corrections: -1821 meV per atom
space group: P-31c (163)